No. 1
Compound: Ba3Np2O8
Source: Alexandria
Functional: PBE
Structure: relaxed

Lattice parameters (Å, degrees): 6.6806 6.6806 20.5456 90.00 90.00 120.00
Space group R-3m (No. 166, hexagonal axes)
Symmetry-distinct sites (fractional):
Ba: 0.0000 0.0000 0.0000 (multiplicity 3)
Ba: 0.0000 0.0000 0.1956 (multiplicity 6)
Np: 0.0000 0.0000 0.4169 (multiplicity 6)
O: 0.0000 0.0000 0.3214 (multiplicity 6)
O: 0.0131 0.5065 0.7682 (multiplicity 18)

Polymorph energy (0 for the lowest one) (kJ per mole of atoms): 17.5
Raw formation energy (meV/atom): -2637
E (eV/atom): -8.1232

***

No. 2
Compound: TiP2Ru
Source: Alexandria
Functional: PBE
Structure: relaxed

Lattice parameters (Å, degrees): 5.997 5.997 5.997 90.00 90.00 90.00
Space group Fm-3m (No. 225)
Symmetry-distinct sites (fractional):
Ti: 0.000 0.000 0.000 (multiplicity 4)
P: 0.250 0.250 0.250 (multiplicity 8)
Ru: 0.000 0.000 0.500 (multiplicity 4)

E_form (meV per atom): -486
Polymorph energy (0 for the lowest one) (kJ per mole of atoms): 11.0
E (eV/atom): -7.4837